[1]
The following is a GGA-PBE calculation of a relaxed Bi2Pd7Pt crystal, from Alexandria via LeMat-Bulk.

## Properties
Density: 11.3 g/cm³
Formation energy: 2.0 kcal/mol of atoms
DFT total energy: -49.270 eV for the cell shown
Space group: Cmmm (65)
Magnetization: 0.000 μB per atom

Cell and atoms, written as CIF:
```
data_Bi2Pd7Pt
_space_group_name_H-M_alt 'P 1'
_space_group_IT_number 1
_space_group_name_Hall 'P 1'
_cell_length_a 2.978
_cell_length_b 9.022
_cell_length_c 9.022
_cell_angle_alpha 124.93
_cell_angle_beta 90.00
_cell_angle_gamma 90.00
loop_
_atom_site_label
_atom_site_type_symbol
_atom_site_fract_x
_atom_site_fract_y
_atom_site_fract_z
Bi1 Bi 0.500 0.680 0.320
Bi2 Bi 0.500 0.320 0.680
Pd1 Pd 0.000 0.825 0.175
Pd2 Pd 0.000 0.175 0.825
Pd3 Pd 0.500 0.138 0.315
Pd4 Pd 0.500 0.862 0.685
Pd5 Pd 0.500 0.315 0.138
Pd6 Pd 0.500 0.685 0.862
Pd7 Pd 0.500 0.500 0.500
Pt1 Pt 0.000 0.000 0.000
```



[2]
The following is a GGA-PBE calculation of a relaxed Bi2Pd12Pt5 crystal, from Alexandria via LeMat-Bulk.

## Properties
Density: 13.4 g/cm³
Formation energy: 1.2 kcal/mol of atoms
DFT total energy: -99.266 eV for the cell shown
Space group: C2/m (12)
Magnetization: 0.000 μB per atom

Cell and atoms, written as CIF:
```
data_Bi2Pd12Pt5
_space_group_name_H-M_alt 'P 1'
_space_group_IT_number 1
_space_group_name_Hall 'P 1'
_cell_length_a 9.216
_cell_length_b 6.787
_cell_length_c 7.577
_cell_angle_alpha 77.36
_cell_angle_beta 90.00
_cell_angle_gamma 132.76
loop_
_atom_site_label
_atom_site_type_symbol
_atom_site_fract_x
_atom_site_fract_y
_atom_site_fract_z
Bi1 Bi 0.692 0.000 0.000
Bi2 Bi 0.308 0.000 0.000
Pd1 Pd 0.013 0.026 0.160
Pd2 Pd 0.085 0.481 0.862
Pd3 Pd 0.396 0.481 0.862
Pd4 Pd 0.142 0.788 0.410
Pd5 Pd 0.646 0.788 0.410
Pd6 Pd 0.476 0.953 0.694
Pd7 Pd 0.524 0.047 0.306
Pd8 Pd 0.858 0.212 0.590
Pd9 Pd 0.354 0.212 0.590
Pd10 Pd 0.915 0.519 0.138
Pd11 Pd 0.604 0.519 0.138
Pd12 Pd 0.987 0.974 0.840
Pt1 Pt 0.255 0.511 0.547
Pt2 Pt 0.276 0.551 0.184
Pt3 Pt 0.000 0.000 0.500
Pt4 Pt 0.724 0.449 0.816
Pt5 Pt 0.745 0.489 0.453
```



[3]
The following is a GGA-PBE calculation of a relaxed Bi3Pd3Pt5 crystal, from Alexandria via LeMat-Bulk.

## Properties
Density: 13.3 g/cm³
Formation energy: 4.1 kcal/mol of atoms
DFT total energy: -55.487 eV for the cell shown
Space group: P-62m (189)
Magnetization: 0.000 μB per atom

Cell and atoms, written as CIF:
```
data_Bi3Pd3Pt5
_space_group_name_H-M_alt 'P 1'
_space_group_IT_number 1
_space_group_name_Hall 'P 1'
_cell_length_a 3.904
_cell_length_b 8.437
_cell_length_c 8.437
_cell_angle_alpha 120.00
_cell_angle_beta 90.00
_cell_angle_gamma 90.00
loop_
_atom_site_label
_atom_site_type_symbol
_atom_site_fract_x
_atom_site_fract_y
_atom_site_fract_z
Bi1 Bi 0.000 0.589 0.000
Bi2 Bi 0.000 0.000 0.589
Bi3 Bi 0.000 0.411 0.411
Pd1 Pd 0.500 0.813 0.000
Pd2 Pd 0.500 0.187 0.187
Pd3 Pd 0.500 0.000 0.813
Pt1 Pt 0.500 0.667 0.333
Pt2 Pt 0.500 0.333 0.667
Pt3 Pt 0.500 0.361 0.000
Pt4 Pt 0.500 0.639 0.639
Pt5 Pt 0.500 0.000 0.361
```